*w*
A geometry-optimized ErLuNO structure. Source: OQMD, functional GGA-PBE.

Magnetization   0.00 Bohr magnetons per cell

Structure (CIF):
```
data_ErLuNO
_space_group_name_H-M_alt 'P 4/n m m'
_space_group_IT_number 129
_cell_length_a 4.7342
_cell_length_b 4.7342
_cell_length_c 4.7057
_cell_angle_alpha 90.00
_cell_angle_beta 90.00
_cell_angle_gamma 90.00
loop_
_space_group_symop_operation_xyz
'x,y,z'
'-x,-y,-z'
'-y+1/2,x,z'
'y+1/2,-x,-z'
'-x+1/2,-y+1/2,z'
'x+1/2,y+1/2,-z'
'y,-x+1/2,z'
'-y,x+1/2,-z'
'x+1/2,-y,-z'
'-x+1/2,y,z'
'-y,-x,-z'
'y,x,z'
'-x,y+1/2,-z'
'x,-y+1/2,z'
'y+1/2,x+1/2,-z'
'-y+1/2,-x+1/2,z'
loop_
_atom_site_label
_atom_site_fract_x
_atom_site_fract_y
_atom_site_fract_z
_atom_site_occupancy
Er1 0.2500 0.7500 0.0000 1
Lu1 0.2500 0.2500 0.4994 1
N1 0.2500 0.2500 0.9985 1
O1 0.2500 0.7500 0.5000 1
```


*x*
A geometry-optimized ErLuNO structure. Source: OQMD, functional GGA-PBE.

Magnetization   0.03 Bohr magnetons per cell

Structure (CIF):
```
data_ErLuNO
_space_group_name_H-M_alt 'P m m a'
_space_group_IT_number 51
_cell_length_a 4.7435
_cell_length_b 3.8838
_cell_length_c 6.7516
_cell_angle_alpha 90.00
_cell_angle_beta 90.00
_cell_angle_gamma 90.00
loop_
_space_group_symop_operation_xyz
'x,y,z'
'-x,-y,-z'
'-x+1/2,-y,z'
'x+1/2,y,-z'
'x+1/2,-y,-z'
'-x+1/2,y,z'
'-x,y,-z'
'x,-y,z'
loop_
_atom_site_label
_atom_site_fract_x
_atom_site_fract_y
_atom_site_fract_z
_atom_site_occupancy
Er1 0.2500 0.0000 0.1639 1
Lu1 0.2500 0.5000 0.6673 1
N1 0.2500 0.5000 0.3398 1
O1 0.2500 0.0000 0.8178 1
```


How do the energies compare? Relative to the most stable structure, in eV/atom: *w* 0.000; *x* 0.083.